[1]
An optimized crystal structure of PmScNiAu, computed with GGA-PBE.

- Crystal system: cubic
- N(E_F): 12.36 states/eV/cell
- Formation energy from the elements: -1.99 eV/f.u.
- Theoretical density: 8891 kg/m3

a b c (Å): 6.931 6.931 6.931
angles (deg): 90.00 90.00 90.00
Space group F-43m (No. 216)
Asymmetric unit:
Pm 0.000 0.000 0.000 (multiplicity 4)
Sc 0.000 0.000 0.500 (multiplicity 4)
Ni 0.250 0.250 0.750 (multiplicity 4)
Au 0.250 0.250 0.250 (multiplicity 4)

=====

[2]
An optimized crystal structure of Pm2Si4Ni3Au, computed with GGA-PBE.

- Crystal system: tetragonal
- N(E_F): 5.01 states/eV/cell
- ΔE_f (raw): -772 meV per atom
- Theoretical density: 7884 kg/m3

a b c (Å): 4.094 4.094 9.744
angles (deg): 90.00 90.00 90.00
Space group P-4m2 (No. 115)
Asymmetric unit:
Pm 0.000 0.500 0.241 (multiplicity 2)
Si 0.000 0.000 0.000 (multiplicity 1)
Si 0.000 0.500 0.646 (multiplicity 2)
Si 0.500 0.500 0.000 (multiplicity 1)
Ni 0.000 0.500 0.884 (multiplicity 2)
Ni 0.500 0.500 0.500 (multiplicity 1)
Au 0.000 0.000 0.500 (multiplicity 1)